The following is a PBE-GGA calculation of an optimized crystal structure of TcAg2B, from OQMD.

Properties
The uncorrected energy is -74.82 eV for the cell shown.

a = 6.1018 Å, b = 6.1018 Å, c = 6.1018 Å
α = 90.00°, β = 90.00°, γ = 90.00°
Space group F-43m (No. 216)
One atom of each set of equivalent atoms:
Tc  0.0000  0.0000  0.0000 [4 per cell]
Ag  0.0000  0.0000  0.5000 [4 per cell]
Ag  0.2500  0.2500  0.2500 [4 per cell]
B  0.2500  0.2500  0.7500 [4 per cell]